Entry 1:
Density functional theory data (PBE-GGA) for CrAsPt2S after structural relaxation.

POSCAR file:
```
CrAsPt2S
1.0
4.5519 0.0000 0.0000
0.0000 4.4311 0.0000
0.0000 0.0000 4.5519
Cr As S Pt
1 1 1 2
Cartesian
0.0000 2.2156 0.0000
2.2760 2.2156 2.2760
0.0000 0.0000 0.0000
0.0000 0.0000 2.2760
2.2760 0.0000 0.0000
```

Values from the calculation:
E_form (uncorrected): 0.347 eV/atom
Fermi-level density of states: 2.40 states/eV/cell
uncorrected energy: -5.749 eV per atom
magnetization: 3.2 μB/f.u.

=====

Entry 2:
Density functional theory data (PBE-GGA) for KCd3 after structural relaxation.

POSCAR file:
```
KCd3
1.0
-0.6040 3.5712 0.4761
-1.7800 -1.8202 -2.6198
-7.6287 -2.1835 6.7003
Cd K
3 1
Cartesian
-0.2539 -0.0727 0.2230
-3.5604 -1.0191 3.1271
-2.9032 1.2282 1.1192
-6.7175 0.1364 4.4694
```

Values from the calculation:
ΔH_f (0 K): 0.0841 eV per atom
Fermi-level density of states: 1.45 states/eV/cell
uncorrected energy: -0.877 eV per atom
magnetization: 0.0 μB/f.u.